Nd2Al4AgPt3 | GGA-PBE | optimized geometry

Structure (POSCAR):
```
Nd2Al4AgPt3
1.0
4.310 0.000 0.000
0.000 4.310 0.000
0.000 0.000 10.556
Nd Al Ag Pt
2 4 1 3
direct
0.000 0.500 0.243 Nd
0.500 0.000 0.757 Nd
0.000 0.000 0.000 Al
0.000 0.500 0.634 Al
0.500 0.000 0.366 Al
0.500 0.500 0.000 Al
0.000 0.000 0.500 Ag
0.000 0.500 0.870 Pt
0.500 0.000 0.130 Pt
0.500 0.500 0.500 Pt
```

Computed properties:
E_form	-0.946	eV per atom